Record 1
Here is crystalline K2AgS at its relaxed geometry from Alexandria. Energies are from PBE.

The structure in extended XYZ format:
```
8
Lattice="-6.459 9.712 -3.028 2.215 -2.158 -11.646 -4.156 2.384 -7.466" Properties=species:S:1:pos:R:3 pbc="T T T"
K -3.481 4.415 -4.597
K -1.779 2.442 -10.141
K -4.256 4.181 -13.478
K -7.282 8.838 -16.064
S -2.122 3.777 -7.337
S -2.031 2.002 -13.225
Ag 0.000 0.000 0.000
Ag -6.368 7.936 -8.915
```

Output
The formation energy from raw total energies comes out at -0.462 eV per atom. For the density of states at the Fermi level, the calculation gives 3.434 states/eV/cell. The calculated volume comes out at 179 Å³/f.u. The total energy comes out at -2.76 eV/atom.

Record 2
Here is crystalline KAg2S2 at its relaxed geometry from Alexandria. Energies are from PBE.

The structure in extended XYZ format:
```
5
Lattice="4.266 0.000 0.000 0.000 4.266 0.000 2.133 2.133 6.359" Properties=species:S:1:pos:R:3 pbc="T T T"
K 0.000 0.000 0.000
S 2.133 2.133 1.669
S 4.266 4.266 4.690
Ag 4.266 2.133 3.179
Ag 2.133 4.266 3.179
```

Output
The formation energy from raw total energies comes out at -0.361 eV per atom. For the density of states at the Fermi level, the calculation gives 4.032 states/eV/cell. The calculated volume comes out at 116 Å³/f.u. The energy above the most stable polymorph in this dataset comes out at 0 meV per atom. The total energy comes out at -3.37 eV/atom.

Record 3
Here is crystalline KAg3S at its relaxed geometry from Alexandria. Energies are from PBE.

The structure in extended XYZ format:
```
5
Lattice="-0.550 -2.048 4.984 2.186 -4.664 -1.675 4.925 1.841 1.300" Properties=species:S:1:pos:R:3 pbc="T T T"
K 0.000 0.000 0.000
S 3.280 -2.435 2.304
Ag 1.093 -2.332 -0.838
Ag 2.462 0.921 0.650
Ag -0.275 -1.024 2.492
```

Output
The formation energy from raw total energies comes out at 1.316 eV per atom. For the density of states at the Fermi level, the calculation gives 0.517 states/eV/cell. The calculated volume comes out at 159 Å³/f.u. The energy above the most stable polymorph in this dataset comes out at 1165 meV per atom. The total energy comes out at -1.44 eV/atom.

Record 4
Here is crystalline K4AgS2 at its relaxed geometry from Alexandria. Energies are from PBE.

The structure in extended XYZ format:
```
7
Lattice="5.502 0.000 0.000 2.751 4.765 0.000 2.751 1.588 9.116" Properties=species:S:1:pos:R:3 pbc="T T T"
K 5.502 3.177 7.571
K 2.751 1.588 3.392
K 8.254 4.765 5.725
K 5.502 3.177 1.545
Ag 0.000 0.000 0.000
S 2.751 1.588 6.626
S 8.254 4.765 2.491
```

Output
The formation energy from raw total energies comes out at -0.711 eV per atom. For the density of states at the Fermi level, the calculation gives 2.916 states/eV/cell. The calculated volume comes out at 239 Å³/f.u. The total energy comes out at -2.92 eV/atom.

Q: What is the formation energy from raw total energies in the third record?
A: 1.316 eV per atom

Q: Among the records above, which one has the highest formation energy from raw total energies?
A: KAg3S